# 1
The following is a GGA-PBE calculation of a geometry-optimized ZrGa2GeF structure, from Alexandria.

```
ZrGa2GeF
1.0
-3.208 -1.368 2.705
-2.266 -1.647 -3.520
2.061 -3.872 0.485
Ge Ga Zr F
1 2 1 1
direct
0.000 0.500 0.000 Ge
0.000 0.000 0.500 Ga
0.500 0.000 0.000 Ga
0.500 0.500 0.500 Zr
0.000 0.000 0.000 F
```

Output
E_form (uncorrected)	-0.4753	eV per atom
DOS at the Fermi energy	0.383	states/eV/atom
space-group type	P4/mmm (123)
total magnetization	0.0	μB/cell
electronic total energy	-4.69	eV/atom

# 2
The following is a GGA-PBE calculation of a geometry-optimized GaH2F structure, from Alexandria.

```
GaH2F
1.0
-2.294 3.665 -1.783
-3.585 -2.788 -1.119
-4.351 1.034 1.589
H Ga F
4 2 2
direct
0.703 0.125 0.250 H
0.047 0.625 0.250 H
0.375 0.297 0.750 H
0.875 0.953 0.750 H
0.000 0.000 0.000 Ga
0.750 0.250 0.500 Ga
0.500 0.500 0.000 F
0.250 0.750 0.500 F
```

Output
DOS at the Fermi energy	0.000	states/eV/atom
space-group type	I-42d (122)
total magnetization	0.0	μB/cell
electronic total energy	-3.22	eV/atom

# 3
The following is a GGA-PBE calculation of a geometry-optimized Ga2HF6 structure, from Alexandria.

```
Ga2HF6
1.0
5.740 0.182 0.176
1.861 6.604 0.565
1.861 0.779 6.582
Ga H F
4 2 12
direct
0.412 0.505 0.811 Ga
0.088 0.189 0.495 Ga
0.588 0.495 0.189 Ga
0.912 0.811 0.505 Ga
0.250 0.157 0.843 H
0.750 0.843 0.157 H
0.629 0.677 0.610 F
0.871 0.390 0.323 F
0.371 0.323 0.390 F
0.129 0.610 0.677 F
0.807 0.934 0.246 F
0.693 0.754 0.066 F
0.193 0.066 0.754 F
0.307 0.246 0.934 F
0.293 0.628 0.054 F
0.207 0.946 0.372 F
0.707 0.372 0.946 F
0.793 0.054 0.628 F
```

Output
DOS at the Fermi energy	0.141	states/eV/atom
space-group type	C2/c (15)
total magnetization	0.0	μB/cell
electronic total energy	-4.38	eV/atom

# 4
The following is a GGA-PBE calculation of a geometry-optimized GaH2F structure, from Alexandria.

```
GaH2F
1.0
-0.740 -1.498 4.192
3.060 -3.046 -0.549
8.438 7.709 4.244
Ga H F
4 8 4
direct
0.000 0.250 0.361 Ga
0.000 0.750 0.639 Ga
0.501 0.250 0.139 Ga
0.499 0.750 0.861 Ga
0.301 0.992 0.094 H
0.699 0.008 0.906 H
0.801 0.508 0.406 H
0.199 0.492 0.594 H
0.300 0.492 0.907 H
0.700 0.508 0.093 H
0.800 0.008 0.593 H
0.200 0.992 0.407 H
0.749 0.554 0.750 F
0.251 0.446 0.250 F
0.249 0.946 0.750 F
0.751 0.054 0.250 F
```

Output
DOS at the Fermi energy	0.000	states/eV/atom
space-group type	Pnna (52)
total magnetization	0.0	μB/cell
electronic total energy	-3.70	eV/atom